Record 1
Crystalline LiHo2F6 at its relaxed geometry, computed with GGA-PBE.

## Properties
DOS(E_F), states/eV per cell: 0.851
Raw total energy, eV/atom: -6.072
Formation energy without anion corrections, meV/atom: -3595

a b c (Å): 5.5158 6.2544 7.9077
angles (deg): 90.00 90.24 90.00
Last column: magnetic moment on the atom in μB.
Sites, in units of the cell vectors:
F1 0.3234 0.8630 0.4994  0.02
F2 0.8357 0.8142 0.3097  0.01
F3 0.6766 0.1370 0.5006  0.02
F4 0.6644 0.3121 0.8105  0.01
F5 0.1644 0.1879 0.3105  0.01
F6 0.3357 0.6858 0.8097  0.01
F7 0.3356 0.6879 0.1895  0.01
F8 0.8356 0.8121 0.6895  0.01
F9 0.1766 0.3630 0.0006  0.02
F10 0.8234 0.6370 0.9994  0.02
F11 0.1643 0.1858 0.6903  0.01
F12 0.6643 0.3142 0.1903  0.01
Li1 0.5000 0.5000 0.0000  0.00
Li2 0.0000 0.0000 0.5000  0.00
Ho1 0.9995 0.4990 0.7638  0.24
Ho2 0.4995 0.0010 0.2638  0.24
Ho3 0.0005 0.5010 0.2362  0.24
Ho4 0.5005 0.9990 0.7362  0.24



Record 2
Crystalline Hf2Os at its relaxed geometry, computed with GGA-PBE.

## Properties
E_form, eV per atom: -0.428
DOS(E_F), states/eV per cell: 19.440
Raw total energy, eV/atom: -10.807

a b c (Å): 8.7200 8.7200 8.7200
angles (deg): 60.00 60.00 60.00
Sites, in units of the cell vectors:
Hf1 0.6250 0.6250 0.6250
Hf2 0.1890 0.8110 0.8110
Hf3 0.4390 0.0610 0.4390
Hf4 0.8110 0.1890 0.1890
Hf5 0.1250 0.6250 0.6250
Hf6 0.4390 0.4390 0.0610
Hf7 0.0610 0.4390 0.4390
Hf8 0.0610 0.0610 0.4390
Hf9 0.8110 0.8110 0.1890
Hf10 0.4390 0.0610 0.0610
Hf11 0.6250 0.6250 0.1250
Hf12 0.1890 0.8110 0.1890
Hf13 0.0610 0.4390 0.0610
Hf14 0.1890 0.1890 0.8110
Hf15 0.6250 0.1250 0.6250
Hf16 0.8110 0.1890 0.8110
Os1 0.4103 0.4103 0.4103
Os2 0.4103 0.7692 0.4103
Os3 0.7692 0.4103 0.4103
Os4 0.8397 0.8397 0.8397
Os5 0.4808 0.8397 0.8397
Os6 0.4103 0.4103 0.7692
Os7 0.8397 0.8397 0.4808
Os8 0.8397 0.4808 0.8397



Record 3
Crystalline Pm2HfGa3Pt4 at its relaxed geometry, computed with GGA-PBE.

## Properties
E_form, eV per atom: -0.982
DOS(E_F), states/eV per cell: 5.464
Raw total energy, eV/atom: -6.252

a b c (Å): 4.1858 4.1858 11.3062
angles (deg): 90.00 90.00 90.00
Sites, in units of the cell vectors:
Pm1 0.0000 0.5000 0.7648
Pm2 0.5000 0.0000 0.2352
Pt1 0.5000 0.5000 0.0000
Pt2 0.0000 0.0000 0.0000
Pt3 0.0000 0.5000 0.3522
Pt4 0.5000 0.0000 0.6478
Ga1 0.0000 0.5000 0.1300
Ga2 0.5000 0.0000 0.8700
Ga3 0.0000 0.0000 0.5000
Hf1 0.5000 0.5000 0.5000



Record 4
Crystalline Ti2HRuAu at its relaxed geometry, computed with GGA-PBE.

## Properties
DOS(E_F), states/eV per cell: 4.455
Raw total energy, eV/atom: -6.743

a b c (Å): 4.1170 4.1170 3.8195
angles (deg): 90.00 90.00 90.00
Last column: magnetic moment on the atom in μB.
Sites, in units of the cell vectors:
Au1 0.5000 0.5000 0.5000  0.02
H1 0.0000 0.0000 0.0000  0.00
Ru1 0.0000 0.0000 0.5000  -0.02
Ti1 0.5000 0.0000 0.0000  0.27
Ti2 0.0000 0.5000 0.0000  0.27



Record 5
Crystalline BeCo2Se at its relaxed geometry, computed with GGA-PBE.

## Properties
DOS(E_F), states/eV per cell: 2.444
Raw total energy, eV/atom: -5.247
Formation energy without anion corrections, meV/atom: 109

a b c (Å): 3.6464 3.6059 3.3806
angles (deg): 90.00 90.00 90.00
Sites, in units of the cell vectors:
Se1 0.0000 0.3750 0.6210
Co1 0.5000 0.3750 0.1895
Co2 0.0000 0.8750 0.0594
Be1 0.5000 0.8750 0.6301



Record 6
Crystalline Li2CdPb4 at its relaxed geometry, computed with GGA-PBE.

## Properties
E_form, eV per atom: 0.081
DOS(E_F), states/eV per cell: 3.194
Raw total energy, eV/atom: -2.716

a b c (Å): 5.6563 5.6563 7.5941
angles (deg): 111.86 111.86 90.00
Sites, in units of the cell vectors:
Li1 0.3690 0.3690 0.7380
Li2 0.6310 0.6310 0.2620
Cd1 0.0000 0.0000 0.0000
Pb1 0.5000 0.0000 0.0000
Pb2 0.7500 0.2500 0.5000
Pb3 0.2500 0.7500 0.5000
Pb4 0.0000 0.5000 0.0000



Record 7
Crystalline Ca3Ge2BiPd9 at its relaxed geometry, computed with GGA-PBE.

## Properties
E_form, eV per atom: -0.480
DOS(E_F), states/eV per cell: 7.197
Raw total energy, eV/atom: -4.870

a b c (Å): 5.7431 5.7431 11.7002
angles (deg): 90.00 90.00 120.00
Sites, in units of the cell vectors:
Pd1 0.5000 0.0000 0.0000
Pd2 0.8351 0.6702 0.6869
Pd3 0.1649 0.3298 0.3131
Pd4 0.8351 0.1649 0.6869
Pd5 0.0000 0.5000 0.0000
Pd6 0.1649 0.8351 0.3131
Pd7 0.3298 0.1649 0.6869
Pd8 0.6702 0.8351 0.3131
Pd9 0.5000 0.5000 0.0000
Bi1 0.0000 0.0000 0.5000
Ca1 0.3333 0.6667 0.7651
Ca2 0.6667 0.3333 0.2349
Ca3 0.0000 0.0000 0.0000
Ge1 0.3333 0.6667 0.1599
Ge2 0.6667 0.3333 0.8401



Record 8
Crystalline TcSb at its relaxed geometry, computed with GGA-PBE.

## Properties
DOS(E_F), states/eV per cell: 4.586
Raw total energy, eV/atom: -6.957
Formation energy without anion corrections, meV/atom: 287

a b c (Å): 3.2266 3.2266 8.1154
angles (deg): 90.00 90.00 120.00
Sites, in units of the cell vectors:
Sb1 0.0000 0.0000 0.0000
Sb2 0.0000 0.0000 0.5000
Tc1 0.3333 0.6667 0.2500
Tc2 0.6667 0.3333 0.7500



Record 9
Crystalline Zr2TcNiC at its relaxed geometry, computed with GGA-PBE.

## Properties
E_form, eV per atom: 1.739
DOS(E_F), states/eV per cell: 6.548
Raw total energy, eV/atom: -6.754

a b c (Å): 4.9326 4.3421 4.9326
angles (deg): 90.00 90.00 90.00
Last column: magnetic moment on the atom in μB.
Sites, in units of the cell vectors:
Tc1 0.0000 0.0000 0.0000  0.10
Zr1 0.5000 0.0000 0.0000  -0.01
Zr2 0.0000 0.0000 0.5000  0.01
Ni1 0.0000 0.5000 0.0000  0.24
C1 0.5000 0.5000 0.5000  0.10



Record 10
Crystalline AcSb2Pt2 at its relaxed geometry, computed with GGA-PBE.

## Properties
DOS(E_F), states/eV per cell: 3.432
Raw total energy, eV/atom: -5.800
Formation energy without anion corrections, meV/atom: -913

a b c (Å): 4.8045 4.8045 10.4619
angles (deg): 90.00 90.00 90.00
Sites, in units of the cell vectors:
Sb1 0.0000 0.5000 0.1250
Sb2 0.0000 0.0000 0.5000
Sb3 0.5000 0.5000 0.5000
Sb4 0.5000 0.0000 0.8750
Pt1 0.0000 0.0000 0.0000
Pt2 0.5000 0.5000 0.0000
Pt3 0.5000 0.0000 0.6218
Pt4 0.0000 0.5000 0.3782
Ac1 0.0000 0.5000 0.7617
Ac2 0.5000 0.0000 0.2383



Record 11
Crystalline NbCrNi at its relaxed geometry, computed with GGA-PBE.

## Properties
E_form, eV per atom: 0.390
DOS(E_F), states/eV per cell: 6.875
Raw total energy, eV/atom: -8.101

a b c (Å): 4.7732 4.7732 4.8940
angles (deg): 107.90 107.90 111.70
Sites, in units of the cell vectors:
Ni1 0.8457 0.8457 0.6914
Ni2 0.1543 0.1543 0.3086
Nb1 0.3176 0.6824 0.0000
Nb2 0.6824 0.3176 0.0000
Cr1 0.7500 0.2500 0.5000
Cr2 0.2500 0.7500 0.5000



Record 12
Crystalline CsMgZn3 at its relaxed geometry, computed with GGA-PBE.

## Properties
E_form, eV per atom: 0.269
DOS(E_F), states/eV per cell: 3.533
Raw total energy, eV/atom: -0.985

a b c (Å): 5.4607 5.4607 5.4607
angles (deg): 90.00 90.00 90.00
Sites, in units of the cell vectors:
Mg1 0.0000 0.0000 0.0000
Zn1 0.0000 0.5000 0.0000
Zn2 0.0000 0.0000 0.5000
Zn3 0.5000 0.0000 0.0000
Cs1 0.5000 0.5000 0.5000



Record 13
Crystalline CaGe4Bi at its relaxed geometry, computed with GGA-PBE.

## Properties
E_form, eV per atom: -0.066
DOS(E_F), states/eV per cell: 4.007
Raw total energy, eV/atom: -4.125

a b c (Å): 5.7679 5.7679 5.7679
angles (deg): 60.00 60.00 60.00
Sites, in units of the cell vectors:
Ca1 0.0000 0.0000 0.0000
Ge1 0.6238 0.1287 0.6238
Ge2 0.6238 0.6238 0.1287
Ge3 0.6238 0.6238 0.6238
Ge4 0.1287 0.6238 0.6238
Bi1 0.2500 0.2500 0.2500



Record 14
Crystalline LiPb at its relaxed geometry, computed with GGA-PBE.

## Properties
E_form, eV per atom: 0.053
Raw total energy, eV/atom: -2.758

a b c (Å): 8.8211 8.8211 8.8211
angles (deg): 90.00 90.00 90.00
Sites, in units of the cell vectors:
Li1 0.6939 0.6939 0.6939
Li2 0.8061 0.8061 0.1939
Li3 0.3061 0.3061 0.6939
Li4 0.1939 0.8061 0.8061
Li5 0.8061 0.1939 0.8061
Li6 0.3061 0.6939 0.3061
Li7 0.6939 0.3061 0.3061
Li8 0.1939 0.1939 0.1939
Pb1 0.6250 0.3750 0.6250
Pb2 0.3750 0.3750 0.3750
Pb3 0.8750 0.1250 0.1250
Pb4 0.1250 0.1250 0.8750
Pb5 0.3750 0.6250 0.6250
Pb6 0.6250 0.6250 0.3750
Pb7 0.8750 0.8750 0.8750
Pb8 0.1250 0.8750 0.1250



Record 15
Crystalline Pm4Sb2Os at its relaxed geometry, computed with GGA-PBE.

## Properties
DOS(E_F), states/eV per cell: 5.890
Raw total energy, eV/atom: -5.941
Formation energy without anion corrections, meV/atom: -444

a b c (Å): 5.3040 5.3040 9.0503
angles (deg): 107.04 107.04 90.00
Sites, in units of the cell vectors:
Sb1 0.3636 0.3636 0.7273
Sb2 0.6364 0.6364 0.2727
Pm1 0.8280 0.8280 0.6560
Pm2 0.5000 0.0000 0.0000
Pm3 0.0000 0.5000 0.0000
Pm4 0.1720 0.1720 0.3440
Os1 0.0000 0.0000 0.0000



Record 16
Crystalline Li2HgBr at its relaxed geometry, computed with GGA-PBE.

## Properties
DOS(E_F), states/eV per cell: 1.290
Raw total energy, eV/atom: -2.135
Formation energy without anion corrections, meV/atom: -685

a b c (Å): 3.8808 6.4540 3.7513
angles (deg): 90.00 90.00 90.00
Sites, in units of the cell vectors:
Li1 0.5000 0.5000 0.0000
Li2 0.0000 0.0000 0.0000
Hg1 0.0000 0.5000 0.5000
Br1 0.5000 0.0000 0.5000



Record 17
Crystalline YTe2Ru at its relaxed geometry, computed with GGA-PBE.

## Properties
DOS(E_F), states/eV per cell: 3.616
Raw total energy, eV/atom: -5.718
Formation energy without anion corrections, meV/atom: -212

a b c (Å): 3.5997 3.5997 7.3303
angles (deg): 90.00 90.00 103.60
Last column: magnetic moment on the atom in μB.
Sites, in units of the cell vectors:
Te1 0.0000 0.0000 0.5288  0.01
Te2 0.0000 0.0000 0.9712  0.01
Ru1 0.5000 0.5000 0.7500  0.54
Y1 0.5000 0.5000 0.2500  0.01



Record 18
Crystalline Sr2VI at its relaxed geometry, computed with GGA-PBE.

## Properties
DOS(E_F), states/eV per cell: 11.368
Raw total energy, eV/atom: -3.265
Formation energy without anion corrections, meV/atom: 243

a b c (Å): 8.9293 8.9293 7.5544
angles (deg): 53.77 53.77 90.00
Last column: magnetic moment on the atom in μB.
Sites, in units of the cell vectors:
Sr1 0.1261 0.6250 0.2500  0.10
Sr2 0.6239 0.1250 0.2500  0.10
Sr3 0.3750 0.3761 0.7500  0.10
Sr4 0.8750 0.8739 0.7500  0.10
I1 0.7500 0.2500 0.5000  0.02
I2 0.0000 0.0000 0.0000  0.02
V1 0.2500 0.7500 0.5000  3.19
V2 0.5000 0.5000 0.0000  3.19



Record 19
Crystalline Ac2Pr8Sm at its relaxed geometry, computed with GGA-PBE.

## Properties
E_form, eV per atom: 0.135
DOS(E_F), states/eV per cell: 18.364
Raw total energy, eV/atom: -4.517

a b c (Å): 7.0791 10.6675 10.6675
angles (deg): 38.31 58.91 58.91
Sites, in units of the cell vectors:
Pr1 0.7307 0.5879 0.5879
Pr2 0.2277 0.8221 0.3492
Pr3 0.7723 0.6508 0.1779
Pr4 0.7723 0.1779 0.6508
Pr5 0.2277 0.3492 0.8221
Pr6 0.2693 0.4121 0.4121
Pr7 0.1647 0.7543 0.7543
Pr8 0.8353 0.2457 0.2457
Ac1 0.5807 0.8021 0.8021
Ac2 0.4193 0.1979 0.1979
Sm1 0.0000 0.0000 0.0000



Record 20
Crystalline KCeCuTe4 at its relaxed geometry, computed with GGA-PBE.

## Properties
DOS(E_F), states/eV per cell: 16.781
Raw total energy, eV/atom: -4.213
Formation energy without anion corrections, meV/atom: -828

a b c (Å): 4.4508 4.4508 21.5492
angles (deg): 90.00 90.00 90.00
Last column: magnetic moment on the atom in μB.
Sites, in units of the cell vectors:
Ce1 0.5000 0.0000 0.4024  0.76
Ce2 0.0000 0.5000 0.5976  0.76
Cu1 0.5000 0.5000 0.0000  0.00
Cu2 0.0000 0.0000 0.0000  0.00
Te1 0.5000 0.0000 0.5553  -0.03
Te2 0.0000 0.5000 0.9302  0.00
Te3 0.5000 0.5000 0.7106  -0.01
Te4 0.5000 0.0000 0.0698  0.00
Te5 0.0000 0.0000 0.2894  -0.01
Te6 0.0000 0.0000 0.7106  -0.01
Te7 0.5000 0.5000 0.2894  -0.01
Te8 0.0000 0.5000 0.4447  -0.03
K1 0.5000 0.0000 0.8556  0.00
K2 0.0000 0.5000 0.1444  0.00